(1)
Ac3Pr4Sm4 | PBE-GGA | optimized geometry

Output
Formation energy   33 meV/atom
Space-group type   P-1, No. 2
Electronic total energy   -0.33377 Ry per atom

Unit cell a=3.724 b=5.912 c=19.074 alpha=81.10 beta=84.42 gamma=89.99
Positions (direct):
Ac (0.000, 0.000, 0.000)
Ac (0.137, 0.638, 0.724)
Ac (0.863, 0.362, 0.276)
Pr (0.318, 0.818, 0.364)
Pr (0.454, 0.455, 0.093)
Pr (0.546, 0.545, 0.907)
Pr (0.682, 0.182, 0.636)
Sm (0.265, 0.265, 0.470)
Sm (0.408, 0.909, 0.184)
Sm (0.592, 0.091, 0.816)
Sm (0.735, 0.735, 0.530)


(2)
Sm12Ho5Cd2 | PBE-GGA | optimized geometry

Output
Formation energy   46 meV/atom
Space-group type   C2/m, No. 12
Electronic total energy   -0.31129 Ry per atom

Unit cell a=9.050 b=9.050 c=8.476 alpha=92.16 beta=92.16 gamma=61.30
Positions (direct):
Sm (0.057, 0.057, 0.329)
Sm (0.069, 0.680, 0.329)
Sm (0.167, 0.536, 0.764)
Sm (0.320, 0.931, 0.671)
Sm (0.419, 0.419, 0.117)
Sm (0.464, 0.833, 0.236)
Sm (0.536, 0.167, 0.764)
Sm (0.581, 0.581, 0.883)
Sm (0.680, 0.069, 0.329)
Sm (0.833, 0.464, 0.236)
Sm (0.931, 0.320, 0.671)
Sm (0.943, 0.943, 0.671)
Ho (0.197, 0.197, 0.018)
Ho (0.267, 0.267, 0.423)
Ho (0.500, 0.500, 0.500)
Ho (0.733, 0.733, 0.577)
Ho (0.803, 0.803, 0.982)
Cd (0.170, 0.830, 0.000)
Cd (0.830, 0.170, 0.000)


(3)
ScSn3Te | PBE-GGA | optimized geometry

Output
Space-group type   Pm-3m, No. 221
Electronic total energy   -0.26338 Ry per atom
Formation energy from raw total energies   0.713 eV/atom

Unit cell a=5.717 b=5.717 c=5.717 alpha=90.00 beta=90.00 gamma=90.00
Positions (direct):
Sc (0.000, 0.000, 0.000)
Sn (0.000, 0.500, 0.500)
Sn (0.500, 0.000, 0.500)
Sn (0.500, 0.500, 0.000)
Te (0.500, 0.500, 0.500)


(4)
Li2HgI | PBE-GGA | optimized geometry

Output
Space-group type   R-3m, No. 166
Electronic total energy   -0.14769 Ry per atom
Formation energy from raw total energies   -0.589 eV/atom

Unit cell a=7.111 b=7.111 c=7.111 alpha=33.95 beta=33.95 gamma=33.95
Positions (direct):
Li (0.246, 0.246, 0.246)
Li (0.754, 0.754, 0.754)
Hg (0.500, 0.500, 0.500)
I (0.000, 0.000, 0.000)


(5)
Tb8Y4Er3 | PBE-GGA | optimized geometry

Output
Formation energy   395 meV/atom
Space-group type   C2/m, No. 12
Electronic total energy   -0.34623 Ry per atom

Unit cell a=9.240 b=9.240 c=6.764 alpha=111.43 beta=111.43 gamma=87.25
Positions (direct):
Tb (0.142, 0.858, 0.000)
Tb (0.228, 0.228, 0.463)
Tb (0.231, 0.231, 0.990)
Tb (0.246, 0.754, 0.500)
Tb (0.754, 0.246, 0.500)
Tb (0.769, 0.769, 0.010)
Tb (0.772, 0.772, 0.537)
Tb (0.858, 0.142, 0.000)
Y (0.000, 0.500, 0.500)
Y (0.500, 0.000, 0.500)
Y (0.500, 0.500, 0.000)
Y (0.500, 0.500, 0.500)
Er (0.000, 0.000, 0.500)
Er (0.000, 0.500, 0.000)
Er (0.500, 0.000, 0.000)


(6)
Pr6P2SI3 | PBE-GGA | optimized geometry

Output
Space-group type   C2/m, No. 12
Electronic total energy   -0.39969 Ry per atom
Formation energy from raw total energies   -1.415 eV/atom

Unit cell a=7.354 b=7.354 c=8.102 alpha=98.70 beta=98.70 gamma=120.01
Positions (direct):
Pr (0.105, 0.438, 0.813)
Pr (0.229, 0.229, 0.187)
Pr (0.438, 0.105, 0.813)
Pr (0.562, 0.895, 0.187)
Pr (0.771, 0.771, 0.813)
Pr (0.895, 0.562, 0.187)
P (0.166, 0.834, 0.000)
P (0.834, 0.166, 0.000)
S (0.500, 0.500, 0.000)
I (0.000, 0.000, 0.500)
I (0.332, 0.668, 0.500)
I (0.668, 0.332, 0.500)